This record from the Alexandria database describes a geometry-optimized BeIr2RhW structure. The functional is PBE-GGA.

crystal system	tetragonal
formation energy from the elements	0.30	eV/atom

POSCAR file:
```
BeIr2RhW
1.0
4.133 0.000 0.000
0.000 4.133 0.000
0.000 0.000 4.084
Be Ir Rh W
1 2 1 1
Cartesian
0.000 0.000 0.000
0.000 2.067 0.000
2.067 0.000 0.000
0.000 0.000 2.042
2.067 2.067 2.042
```

***

This record from the Alexandria database describes a geometry-optimized TlCdIn6 structure. The functional is PBE-GGA.

crystal system	tetragonal
formation energy from the elements	0.03	eV/atom

POSCAR file:
```
TlCdIn6
1.0
4.524 0.000 0.000
0.000 4.524 0.000
0.000 0.000 10.618
Tl Cd In
1 1 6
Cartesian
0.000 0.000 0.000
0.000 0.000 5.309
0.000 2.262 2.746
0.000 2.262 7.872
2.262 0.000 2.746
2.262 0.000 7.872
2.262 2.262 0.000
2.262 2.262 5.309
```

***

This record from the Alexandria database describes a geometry-optimized PmNd3Sm6Ho2 structure. The functional is PBE-GGA.

crystal system	monoclinic
formation energy from the elements	0.02	eV/atom

POSCAR file:
```
PmNd3Sm6Ho2
1.0
3.141 -5.440 0.000
3.141 5.440 0.000
-2.098 0.000 11.845
Pm Nd Sm Ho
1 3 6 2
Cartesian
0.000 0.000 0.000
2.092 3.624 5.923
2.092 0.000 5.923
2.092 -3.624 5.923
1.051 1.818 2.925
0.000 0.000 8.922
1.051 -1.818 2.925
3.134 1.818 8.921
4.185 0.000 2.923
3.134 -1.818 8.921
3.141 1.813 0.000
3.141 -1.813 0.000
```

***

This record from the Alexandria database describes a geometry-optimized Hf4Sn2Mo structure. The functional is PBE-GGA.

crystal system	monoclinic
formation energy from the elements	-0.02	eV/atom
distance to the lowest polymorph of the same formula	0	meV per atom

POSCAR file:
```
Hf4Sn2Mo
1.0
7.109 0.000 0.000
0.000 5.890 0.000
-3.417 0.000 7.202
Hf Sn Mo
8 4 2
Cartesian
0.120 1.473 0.119
-1.232 2.955 5.221
-1.232 5.880 5.221
0.711 4.418 2.966
2.982 1.473 4.236
4.924 0.010 1.981
4.924 2.935 1.981
3.572 4.418 7.083
0.192 1.473 3.053
2.661 4.418 0.676
1.031 1.473 6.526
3.500 4.418 4.149
2.454 1.473 1.396
1.238 4.418 5.806
```

***

This record from the Alexandria database describes a geometry-optimized FeAsIr structure. The functional is PBE-GGA.

crystal system	monoclinic
formation energy from the elements	0.03	eV/atom

POSCAR file:
```
FeAsIr
1.0
6.576 -1.453 0.000
6.576 1.453 0.000
-1.210 0.000 4.458
Fe As Ir
2 2 2
Cartesian
0.575 0.000 1.606
11.367 0.000 2.852
5.224 0.000 0.899
6.718 0.000 3.559
2.623 0.000 3.365
9.319 0.000 1.093
```

***

This record from the Alexandria database describes a geometry-optimized Tl2W structure. The functional is PBE-GGA.

crystal system	tetragonal
formation energy from the elements	0.79	eV/atom
distance to the lowest polymorph of the same formula	160	meV per atom

POSCAR file:
```
Tl2W
1.0
5.034 0.000 0.000
0.000 5.034 0.000
0.000 0.000 2.948
Tl W
2 1
Cartesian
0.000 2.517 0.000
2.517 0.000 0.000
0.000 0.000 1.474
```

***

This record from the Alexandria database describes a geometry-optimized Ac2NbAg structure. The functional is PBE-GGA.

crystal system	trigonal
formation energy from the elements	0.79	eV/atom

POSCAR file:
```
Ac2NbAg
1.0
1.739 1.004 11.580
-1.739 1.004 11.580
0.000 -2.008 11.580
Ac Nb Ag
2 1 1
Cartesian
0.000 0.000 3.065
0.000 0.000 31.676
0.000 0.000 0.000
0.000 0.000 17.370
```

***

This record from the Alexandria database describes a geometry-optimized Y2SiNi structure. The functional is PBE-GGA.

crystal system	orthorhombic
ΔE_f (raw)	-14.95	kcal/mol of atoms

POSCAR file:
```
Y2SiNi
1.0
4.053 0.000 0.000
0.000 1.998 5.301
0.000 -1.998 5.301
Y Si Ni
2 1 1
Cartesian
0.000 0.000 0.000
2.026 0.000 2.978
0.000 0.000 7.507
2.026 0.000 6.098
```

***

| no. | raw total energy (eV per cell) | calculated density (g/cm³) |
| --- | --- | --- |
| 1 | -40.28 | 16.19 |
| 2 | -19.51 | 7.69 |
| 3 | -56.34 | 7.42 |
| 4 | -117.61 | 11.53 |
| 5 | -43.75 | 12.59 |
| 6 | -15.32 | 13.17 |
| 7 | -17.97 | 8.96 |
| 8 | -26.73 | 5.12 |